Record 1
Here is an optimized crystal structure of PmPaCuPt from Alexandria. Energies are from PBE.

Lattice parameters (Å, degrees): 4.9870 4.9870 4.9870 60.00 60.00 60.00
Element x y z (fractional)
Pm: 0.0000 0.0000 0.0000
Pa: 0.5000 0.5000 0.5000
Cu: 0.2500 0.2500 0.2500
Pt: 0.7500 0.7500 0.7500

Properties
- Fermi-level density of states: 6.78 states/eV/cell
- Total energy: -6.48 eV/atom

=====

Record 2
Here is an optimized crystal structure of BaYMo from Alexandria. Energies are from PBE.

Lattice parameters (Å, degrees): 5.3168 5.3168 3.2925 90.00 90.00 120.00
Element x y z (fractional)
Ba: 0.0000 0.0000 0.0000
Y: 0.3333 0.6667 0.5000
Mo: 0.6667 0.3333 0.0000

Properties
- Fermi-level density of states: 3.40 states/eV/cell
- Total energy: -5.48 eV/atom
- Excess energy over the best structure of this formula in the dataset: 0.1833 eV/atom